Record 1
TbHoPu | GGA-PBE | optimized geometry

## Properties
M_tot in μB/f.u.: 6.1
Symmetry: No. 156
E_form in kcal/mol of atoms: 2.86
Energy above the most stable polymorph in this dataset in meV per atom: 15

a b c (Å): 3.511 3.511 8.520
angles (deg): 90.00 90.00 120.00
Site moments in Bohr magnetons follow the coordinates.
Fractional coordinates of all 3 atoms:
Pu 0.667 0.333 0.334  -5.63
Tb 0.000 0.000 0.002  0.00
Ho 0.333 0.667 0.664  -0.02

Record 2
Tb7Ho12Pu | GGA-PBE | optimized geometry

## Properties
M_tot in μB/f.u.: 3.9
Symmetry: No. 148
E_form in kcal/mol of atoms: 5.82
Energy above the most stable polymorph in this dataset in meV per atom: 0

a b c (Å): 8.632 8.632 8.632
angles (deg): 90.56 90.56 90.56
Site moments in Bohr magnetons follow the coordinates.
Fractional coordinates of all 20 atoms:
Tb 0.934 0.029 0.326  0.08
Tb 0.066 0.971 0.674  0.08
Tb 0.674 0.066 0.971  0.08
Tb 0.029 0.326 0.934  0.08
Tb 0.326 0.934 0.029  0.08
Tb 0.500 0.500 0.500  -0.03
Tb 0.971 0.674 0.066  0.08
Ho 0.767 0.375 0.227  -0.10
Ho 0.375 0.227 0.767  -0.10
Ho 0.773 0.233 0.625  -0.10
Ho 0.125 0.352 0.456  -0.17
Ho 0.875 0.648 0.544  -0.17
Ho 0.625 0.773 0.233  -0.10
Ho 0.233 0.625 0.773  -0.10
Ho 0.227 0.767 0.375  -0.10
Ho 0.648 0.544 0.875  -0.17
Ho 0.352 0.456 0.125  -0.17
Ho 0.544 0.875 0.648  -0.17
Ho 0.456 0.125 0.352  -0.17
Pu 0.000 0.000 0.000  5.67

Record 3
Tb8Ho3Pu2 | GGA-PBE | optimized geometry

## Properties
M_tot in μB/f.u.: 13.9
Symmetry: No. 12
E_form in kcal/mol of atoms: 6.58

a b c (Å): 5.649 7.474 10.634
angles (deg): 110.57 90.01 90.00
Site moments in Bohr magnetons follow the coordinates.
Fractional coordinates of all 13 atoms:
Tb 0.000 0.138 0.277  0.25
Tb 0.000 0.862 0.723  0.25
Tb 0.500 0.603 0.777  0.14
Tb 0.500 0.174 0.777  0.13
Tb 0.999 0.323 0.646  0.23
Tb 0.001 0.677 0.354  0.23
Tb 0.500 0.826 0.223  0.13
Tb 0.500 0.397 0.223  0.14
Ho 0.000 0.278 0.000  -0.08
Ho 0.500 0.000 0.000  -0.16
Ho 0.000 0.722 0.000  -0.08
Pu 0.499 0.241 0.482  5.71
Pu 0.501 0.759 0.518  5.71

Record 4
Tb7Ho4Pu | GGA-PBE | optimized geometry

## Properties
M_tot in μB/f.u.: 0.0
Symmetry: No. 12
E_form in kcal/mol of atoms: 8.14

a b c (Å): 10.663 10.663 7.977
angles (deg): 58.85 58.85 28.80
Fractional coordinates of all 12 atoms:
Tb 0.855 0.855 0.096
Tb 0.145 0.145 0.904
Tb 0.951 0.951 0.381
Tb 0.677 0.677 0.553
Tb 0.049 0.049 0.619
Tb 0.500 0.500 0.000
Tb 0.323 0.323 0.447
Ho 0.410 0.410 0.736
Ho 0.771 0.771 0.821
Ho 0.590 0.590 0.264
Ho 0.229 0.229 0.179
Pu 0.000 0.000 0.000

Record 5
TbHoPu2 | GGA-PBE | optimized geometry

## Properties
M_tot in μB/f.u.: 12.7
Symmetry: No. 123
E_form in kcal/mol of atoms: 4.04
Energy above the most stable polymorph in this dataset in meV per atom: 0

a b c (Å): 3.401 3.401 10.090
angles (deg): 90.00 90.00 90.00
Site moments in Bohr magnetons follow the coordinates.
Fractional coordinates of all 4 atoms:
Pu 0.000 0.000 0.749  5.58
Pu 0.000 0.000 0.251  5.58
Ho 0.500 0.500 0.500  0.33
Tb 0.500 0.500 0.000  0.25

Record 6
Tb12Ho5Pu | GGA-PBE | optimized geometry

## Properties
M_tot in μB/f.u.: 6.3
Symmetry: No. 65
E_form in kcal/mol of atoms: 0.78

a b c (Å): 15.026 10.623 5.005
angles (deg): 90.00 90.00 44.99
Site moments in Bohr magnetons follow the coordinates.
Fractional coordinates of all 18 atoms:
Tb 0.334 0.000 0.000  -0.02
Tb 0.500 0.333 0.500  -0.05
Tb 0.835 0.000 0.500  0.10
Tb 0.000 0.331 0.000  0.01
Tb 0.666 0.000 0.000  -0.02
Tb 0.832 0.667 0.500  -0.05
Tb 0.331 0.669 0.000  0.01
Tb 0.000 0.669 0.000  0.01
Tb 0.669 0.331 0.000  0.01
Tb 0.168 0.333 0.500  -0.05
Tb 0.165 0.000 0.500  0.10
Tb 0.500 0.667 0.500  -0.05
Ho 0.165 0.670 0.500  0.12
Ho 0.334 0.333 0.000  -0.01
Ho 0.835 0.330 0.500  0.12
Ho 0.500 0.000 0.500  0.06
Ho 0.666 0.667 0.000  -0.01
Pu 0.000 0.000 0.000  5.60

Record 7
Tb5Ho4Pu | GGA-PBE | optimized geometry

## Properties
M_tot in μB/f.u.: 6.0
Symmetry: No. 139
E_form in kcal/mol of atoms: 5.89
Energy above the most stable polymorph in this dataset in meV per atom: 0

a b c (Å): 5.434 8.121 8.121
angles (deg): 83.57 70.45 70.45
Site moments in Bohr magnetons follow the coordinates.
Fractional coordinates of all 10 atoms:
Tb 0.817 0.000 0.369  0.09
Tb 0.501 0.000 0.000  0.37
Tb 0.185 0.000 0.631  0.09
Tb 0.185 0.631 0.000  0.09
Tb 0.817 0.369 0.000  0.09
Ho 0.501 0.327 0.673  -0.08
Ho 0.828 0.673 0.673  -0.08
Ho 0.501 0.673 0.327  -0.08
Ho 0.174 0.327 0.327  -0.08
Pu 0.001 0.000 0.000  5.74

Record 8
Tb5Ho8Pu | GGA-PBE | optimized geometry

## Properties
M_tot in μB/f.u.: 5.4
Symmetry: No. 82
E_form in kcal/mol of atoms: 6.75

a b c (Å): 8.357 8.357 8.357
angles (deg): 107.27 113.96 107.27
Site moments in Bohr magnetons follow the coordinates.
Fractional coordinates of all 14 atoms:
Ho 0.591 0.371 0.898  0.01
Ho 0.545 0.907 0.941  -0.13
Ho 0.779 0.306 0.409  0.01
Ho 0.527 0.629 0.221  0.01
Ho 0.033 0.093 0.638  -0.13
Ho 0.059 0.604 0.967  -0.13
Ho 0.102 0.694 0.473  0.01
Ho 0.362 0.396 0.455  -0.13
Tb 0.964 0.914 0.203  0.09
Tb 0.289 0.086 0.050  0.09
Tb 0.950 0.239 0.036  0.09
Tb 0.797 0.761 0.711  0.09
Tb 0.500 0.000 0.500  0.21
Pu 0.250 0.500 0.750  -5.71

Record 9
Tb10Ho4Pu | GGA-PBE | optimized geometry

## Properties
M_tot in μB/f.u.: 5.8
Symmetry: No. 87
E_form in kcal/mol of atoms: 8.79

a b c (Å): 10.433 8.604 8.604
angles (deg): 68.43 52.68 52.68
Site moments in Bohr magnetons follow the coordinates.
Fractional coordinates of all 15 atoms:
Ho 0.065 0.607 0.264  0.07
Ho 0.935 0.393 0.736  0.07
Ho 0.672 0.264 0.393  0.07
Ho 0.328 0.736 0.607  0.07
Tb 0.872 0.901 0.674  -0.04
Tb 0.250 0.500 0.500  -0.09
Tb 0.773 0.674 0.099  -0.04
Tb 0.128 0.099 0.326  -0.04
Tb 0.455 0.674 0.099  -0.04
Tb 0.750 0.500 0.500  -0.09
Tb 0.447 0.099 0.326  -0.04
Tb 0.545 0.326 0.901  -0.04
Tb 0.227 0.326 0.901  -0.04
Tb 0.553 0.901 0.674  -0.04
Pu 0.000 0.000 0.000  5.71

Record 10
Tb3Ho4Pu | GGA-PBE | optimized geometry

## Properties
M_tot in μB/f.u.: 6.2
Symmetry: No. 71
E_form in kcal/mol of atoms: 3.47
Energy above the most stable polymorph in this dataset in meV per atom: 100

a b c (Å): 3.407 11.498 8.744
angles (deg): 131.10 101.24 90.00
Site moments in Bohr magnetons follow the coordinates.
Fractional coordinates of all 8 atoms:
Ho 0.632 0.884 0.264  0.02
Ho 0.368 0.620 0.736  0.02
Ho 0.368 0.116 0.736  0.02
Ho 0.632 0.380 0.264  0.02
Tb 0.000 0.500 0.000  -0.09
Tb 0.763 0.763 0.526  0.06
Tb 0.237 0.237 0.474  0.06
Pu 0.500 0.000 0.000  5.69

Record 11
Tb2Ho5Pu | GGA-PBE | optimized geometry

## Properties
M_tot in μB/f.u.: 6.7
Symmetry: No. 2
E_form in kcal/mol of atoms: 3.99

a b c (Å): 6.758 6.306 15.200
angles (deg): 70.29 56.61 89.64
Site moments in Bohr magnetons follow the coordinates.
Fractional coordinates of all 16 atoms:
Ho 0.744 0.998 0.503  0.09
Ho 0.448 0.479 0.756  0.06
Ho 0.070 0.766 0.978  0.15
Ho 0.312 0.016 0.258  0.13
Ho 0.552 0.521 0.244  0.06
Ho 0.963 0.489 0.748  0.11
Ho 0.256 0.002 0.497  0.09
Ho 0.037 0.511 0.252  0.11
Ho 0.930 0.234 0.022  0.15
Ho 0.688 0.984 0.742  0.13
Pu 0.178 0.009 0.737  5.60
Pu 0.822 0.991 0.263  5.60
Tb 0.500 0.000 0.000  0.00
Tb 0.500 0.500 0.000  0.03
Tb 0.000 0.500 0.500  -0.02
Tb 0.500 0.500 0.500  0.09

Record 12
TbHo2Pu | GGA-PBE | optimized geometry

## Properties
M_tot in μB/f.u.: 6.2
Symmetry: No. 123
E_form in kcal/mol of atoms: 3.16
Energy above the most stable polymorph in this dataset in meV per atom: 44

a b c (Å): 4.956 4.949 4.949
angles (deg): 90.00 90.00 90.00
Site moments in Bohr magnetons follow the coordinates.
Fractional coordinates of all 4 atoms:
Ho 0.000 0.000 0.500  0.13
Ho 0.000 0.500 0.000  0.13
Tb 0.500 0.000 0.000  0.11
Pu 0.500 0.500 0.500  5.47

Record 13
Tb3Ho4Pu | GGA-PBE | optimized geometry

## Properties
M_tot in μB/f.u.: 6.8
Symmetry: No. 31
E_form in kcal/mol of atoms: 1.16
Energy above the most stable polymorph in this dataset in meV per atom: 0

a b c (Å): 6.174 7.154 11.261
angles (deg): 90.00 90.00 90.00
Site moments in Bohr magnetons follow the coordinates.
Fractional coordinates of all 16 atoms:
Tb 0.150 0.624 0.250  0.12
Tb 0.480 0.621 0.000  0.02
Tb 0.150 0.624 0.750  0.12
Tb 0.650 0.376 0.250  0.12
Tb 0.980 0.379 0.500  0.02
Tb 0.650 0.376 0.750  0.12
Pu 0.483 0.625 0.500  5.60
Pu 0.983 0.375 0.000  5.60
Ho 0.643 0.873 0.748  0.08
Ho 0.482 0.124 0.500  0.10
Ho 0.643 0.873 0.252  0.08
Ho 0.982 0.876 0.000  0.10
Ho 0.983 0.873 0.500  0.10
Ho 0.143 0.127 0.248  0.08
Ho 0.143 0.127 0.752  0.08
Ho 0.483 0.127 0.000  0.10

Record 14
TbHo2Pu | GGA-PBE | optimized geometry

## Properties
M_tot in μB/f.u.: 6.4
Symmetry: No. 166
E_form in kcal/mol of atoms: 6.01
Energy above the most stable polymorph in this dataset in meV per atom: 168

a b c (Å): 3.433 3.433 12.342
angles (deg): 82.01 82.01 60.00
Site moments in Bohr magnetons follow the coordinates.
Fractional coordinates of all 4 atoms:
Tb 0.500 0.500 0.500  -0.02
Ho 0.911 0.911 0.266  0.06
Ho 0.089 0.089 0.734  0.06
Pu 0.000 0.000 0.000  5.81

Record 15
Tb6Ho12Pu | GGA-PBE | optimized geometry

## Properties
M_tot in μB/f.u.: 6.5
Symmetry: No. 148
E_form in kcal/mol of atoms: 0.73

a b c (Å): 9.333 9.333 9.333
angles (deg): 110.93 110.93 110.93
Site moments in Bohr magnetons follow the coordinates.
Fractional coordinates of all 19 atoms:
Tb 0.945 0.629 0.419  0.03
Tb 0.371 0.581 0.055  0.03
Tb 0.419 0.945 0.629  0.03
Tb 0.581 0.055 0.371  0.03
Tb 0.055 0.371 0.581  0.03
Tb 0.629 0.419 0.945  0.03
Ho 0.791 0.530 0.687  -0.05
Ho 0.687 0.791 0.530  -0.05
Ho 0.209 0.470 0.313  -0.05
Ho 0.895 0.261 0.844  -0.05
Ho 0.530 0.687 0.791  -0.05
Ho 0.739 0.156 0.105  -0.05
Ho 0.313 0.209 0.470  -0.05
Ho 0.156 0.105 0.739  -0.05
Ho 0.844 0.895 0.261  -0.05
Ho 0.105 0.739 0.156  -0.05
Ho 0.261 0.844 0.895  -0.05
Ho 0.470 0.313 0.209  -0.05
Pu 0.000 0.000 0.000  -5.61

Record 16
Tb5Ho2Pu | GGA-PBE | optimized geometry

## Properties
M_tot in μB/f.u.: 6.3
Symmetry: No. 15
E_form in kcal/mol of atoms: 4.14

a b c (Å): 6.619 6.619 13.038
angles (deg): 70.12 70.12 87.17
Site moments in Bohr magnetons follow the coordinates.
Fractional coordinates of all 16 atoms:
Pu 0.114 0.886 0.250  5.59
Pu 0.886 0.114 0.750  5.59
Ho 0.000 0.500 0.500  0.17
Ho 0.500 0.500 0.500  -0.07
Ho 0.500 0.500 0.000  -0.07
Ho 0.500 0.000 0.000  0.17
Tb 0.969 0.744 0.018  0.00
Tb 0.256 0.031 0.482  0.00
Tb 0.638 0.011 0.239  0.09
Tb 0.362 0.989 0.761  0.09
Tb 0.523 0.477 0.750  0.03
Tb 0.477 0.523 0.250  0.03
Tb 0.031 0.256 0.982  0.00
Tb 0.989 0.362 0.261  0.09
Tb 0.744 0.969 0.518  0.00
Tb 0.011 0.638 0.739  0.09

Record 17
Tb2HoPu | GGA-PBE | optimized geometry

## Properties
M_tot in μB/f.u.: 5.9
Symmetry: No. 160
E_form in kcal/mol of atoms: 2.21
Energy above the most stable polymorph in this dataset in meV per atom: 0

a b c (Å): 3.542 3.542 11.526
angles (deg): 81.16 81.16 59.98
Site moments in Bohr magnetons follow the coordinates.
Fractional coordinates of all 4 atoms:
Ho 0.500 0.500 0.499  -0.15
Tb 0.083 0.083 0.752  0.01
Tb 0.251 0.251 0.248  0.06
Pu 0.666 0.666 0.001  5.58

Record 18
TbHoPu | GGA-PBE | optimized geometry

## Properties
M_tot in μB/f.u.: 6.5
Symmetry: No. 59
E_form in kcal/mol of atoms: 3.73
Energy above the most stable polymorph in this dataset in meV per atom: 53

a b c (Å): 3.360 5.551 9.663
angles (deg): 90.00 90.00 90.00
Site moments in Bohr magnetons follow the coordinates.
Fractional coordinates of all 6 atoms:
Tb 0.000 0.500 0.399  0.22
Tb 0.500 0.000 0.601  0.22
Pu 0.000 0.500 0.746  5.61
Pu 0.500 0.000 0.254  5.61
Ho 0.500 0.500 0.065  0.19
Ho 0.000 0.000 0.935  0.19

Record 19
Tb4Ho10Pu | GGA-PBE | optimized geometry

## Properties
M_tot in μB/f.u.: 6.9
Symmetry: No. 139
E_form in kcal/mol of atoms: 6.11

a b c (Å): 7.708 8.807 8.807
angles (deg): 78.96 64.05 64.05
Site moments in Bohr magnetons follow the coordinates.
Fractional coordinates of all 15 atoms:
Tb 0.231 0.538 0.000  -0.03
Tb 0.769 0.462 0.000  -0.03
Tb 0.769 0.000 0.462  -0.03
Tb 0.231 0.000 0.538  -0.03
Ho 0.288 0.208 0.792  -0.11
Ho 0.920 0.792 0.792  -0.11
Ho 0.504 0.208 0.208  -0.11
Ho 0.750 0.500 0.500  0.02
Ho 0.712 0.792 0.208  -0.11
Ho 0.712 0.208 0.792  -0.11
Ho 0.288 0.792 0.208  -0.11
Ho 0.250 0.500 0.500  0.02
Ho 0.496 0.792 0.792  -0.11
Ho 0.080 0.208 0.208  -0.11
Pu 0.000 0.000 0.000  -5.54

Record 20
Tb4Ho9Pu | GGA-PBE | optimized geometry

## Properties
M_tot in μB/f.u.: 5.4
Symmetry: No. 194
E_form in kcal/mol of atoms: 4.44

a b c (Å): 10.947 9.677 9.677
angles (deg): 120.00 90.00 90.00
Site moments in Bohr magnetons follow the coordinates.
Fractional coordinates of all 28 atoms:
Ho 0.033 0.420 0.210  0.01
Ho 0.967 0.580 0.790  0.01
Ho 0.250 0.074 0.537  -0.01
Ho 0.967 0.210 0.420  0.01
Ho 0.533 0.210 0.420  0.01
Ho 0.967 0.210 0.790  0.01
Ho 0.533 0.210 0.790  0.01
Ho 0.033 0.790 0.580  0.01
Ho 0.467 0.790 0.210  0.01
Ho 0.533 0.580 0.790  0.01
Ho 0.467 0.420 0.210  0.01
Ho 0.033 0.790 0.210  0.01
Ho 0.467 0.790 0.580  0.01
Ho 0.250 0.463 0.537  -0.01
Ho 0.750 0.537 0.074  -0.01
Ho 0.750 0.926 0.463  -0.01
Ho 0.750 0.537 0.463  -0.01
Ho 0.250 0.463 0.926  -0.01
Tb 0.750 0.227 0.114  -0.05
Tb 0.750 0.886 0.114  -0.05
Tb 0.250 0.114 0.227  -0.05
Tb 0.250 0.773 0.886  -0.05
Tb 0.250 0.114 0.886  -0.05
Tb 0.500 0.000 0.000  -0.03
Tb 0.000 0.000 0.000  -0.03
Tb 0.750 0.886 0.773  -0.05
Pu 0.250 0.667 0.333  5.65
Pu 0.750 0.333 0.667  5.65